Compound: RbMnTe2
Source: the Alexandria database
Functional: PBE-GGA
Structure: relaxed

Output
M_tot: 0.00 μB/f.u.
raw formation energy: -0.196 eV per atom
space-group type: I-42d (122)

Geometry as extended XYZ:
```
8
Lattice="-3.919 3.919 4.653 3.919 -3.919 4.653 3.919 3.919 -4.653" Properties=species:S:1:pos:R:3 pbc="T T T"
Rb 0.000 0.000 0.000
Rb 0.000 3.919 2.327
Mn 3.919 0.000 2.327
Mn 0.000 0.000 4.653
Te 1.960 -0.972 3.490
Te 2.947 1.960 1.163
Te 1.960 4.891 -1.163
Te 0.972 1.960 5.817
```